The following is a DFT calculation (PBE+U) of an optimized crystal structure of NaNiGe2O.

Structure (POSCAR):
```
NaNiGe2O
1.0
4.6703 0.0000 0.0000
0.0000 3.8893 0.0000
0.0000 0.0000 4.6703
Ni Ge O Na
1 2 1 1
direct
0.0000 0.5000 0.0000
0.0000 0.0000 0.5000
0.5000 0.0000 0.0000
0.0000 0.0000 0.0000
0.5000 0.5000 0.5000
```

Values from the calculation:
- Space group: No. 123
- Uncorrected energy: -3.55 eV per atom
- M_tot: 0.117 μB per atom